[1]
{
  "formula": "Tb4Ho3Co2",
  "functional": "PBE-GGA",
  "state": "optimized geometry",
  "lattice_angstrom": [[3.479, 0.000, -0.959], [-0.756, 8.441, -2.742], [0.423, -0.639, 8.324]],
  "species": ["Tb", "Tb", "Tb", "Tb", "Ho", "Ho", "Ho", "Co", "Co"],
  "frac_coords": [[0.228, 0.647, 0.456], [0.772, 0.353, 0.544], [0.634, 0.892, 0.268], [0.366, 0.108, 0.732], [0.072, 0.193, 0.145], [0.928, 0.807, 0.855], [0.000, 0.500, 0.000], [0.382, 0.564, 0.763], [0.618, 0.436, 0.237]],
  "e_form_kj_per_mol_atoms": -9.8,
  "spacegroup": "C2/m (12)",
  "final_energy_ev_per_cell": -47.4
}

[2]
{
  "formula": "CrCoH2",
  "functional": "PBE-GGA",
  "state": "optimized geometry",
  "lattice_angstrom": [[2.712, 0.001, -0.001], [1.357, 2.347, 0.000], [1.355, 0.782, 4.463]],
  "species": ["Cr", "Co", "H", "H"],
  "frac_coords": [[0.733, 0.178, 0.699], [0.246, 0.692, 0.160], [0.123, 0.568, 0.528], [0.603, 0.047, 0.091]],
  "spacegroup": "R3m (160)",
  "final_energy_ev_per_cell": -22.9,
  "polymorph_energy_ev_per_atom": 0.143
}

[3]
{
  "formula": "LaCd2Cl",
  "functional": "PBE-GGA",
  "state": "optimized geometry",
  "lattice_angstrom": [[5.394, -0.008, 0.032], [4.135, 3.464, 0.032], [1.144, 0.415, 5.928]],
  "species": ["Cl", "Cd", "Cd", "La"],
  "frac_coords": [[0.487, 0.487, 0.581], [0.998, 0.998, 0.065], [0.258, 0.258, 0.185], [0.757, 0.757, 0.670]],
  "formation_energy_uncorrected_ev_per_atom": -0.697,
  "spacegroup": "Cm (8)",
  "final_energy_ev_per_cell": -11.4,
  "polymorph_energy_ev_per_atom": 0.053
}

[4]
{
  "formula": "TaZnW",
  "functional": "PBE-GGA",
  "state": "optimized geometry",
  "lattice_angstrom": [[-4.040, -0.691, -2.937], [0.110, -3.514, -3.653], [-3.542, -3.289, 1.318]],
  "species": ["Zn", "Zn", "W", "W", "Ta", "Ta"],
  "frac_coords": [[0.750, 0.500, 0.500], [0.250, 0.500, 0.500], [0.853, 0.293, 0.000], [0.147, 0.707, 0.000], [0.658, 0.000, 0.684], [0.342, 0.000, 0.316]],
  "e_form_kj_per_mol_atoms": 19.5,
  "spacegroup": "Fmmm (69)",
  "final_energy_ev_per_cell": -50.9,
  "polymorph_energy_ev_per_atom": 0.099
}

[5]
{
  "formula": "ScTlRh2",
  "functional": "PBE-GGA",
  "state": "optimized geometry",
  "lattice_angstrom": [[4.642, 0.000, 0.000], [2.321, 4.020, 0.000], [2.321, 1.340, 3.790]],
  "species": ["Rh", "Rh", "Sc", "Tl"],
  "frac_coords": [[0.000, 0.000, 0.000], [0.750, 0.750, 0.750], [0.500, 0.500, 0.500], [0.250, 0.250, 0.250]],
  "e_form_kj_per_mol_atoms": -18.3,
  "spacegroup": "F-43m (216)",
  "final_energy_ev_per_cell": -24.2,
  "polymorph_energy_ev_per_atom": 0.397
}

[6]
{
  "formula": "Ag4As",
  "functional": "PBE-GGA",
  "state": "optimized geometry",
  "lattice_angstrom": [[5.097, 0.069, 0.000], [-3.396, 3.801, 0.000], [-0.850, -1.935, 4.638]],
  "species": ["Ag", "Ag", "Ag", "Ag", "As"],
  "frac_coords": [[0.197, 0.395, 0.592], [0.605, 0.197, 0.802], [0.803, 0.605, 0.408], [0.395, 0.803, 0.198], [0.000, 0.000, 0.000]],
  "e_form_kj_per_mol_atoms": 8.7,
  "spacegroup": "I4/m (87)",
  "final_energy_ev_per_cell": -15.6,
  "polymorph_energy_ev_per_atom": 0.000
}

[7]
{
  "formula": "PrYBi",
  "functional": "PBE-GGA",
  "state": "optimized geometry",
  "lattice_angstrom": [[-0.440, -1.459, 4.394], [-2.873, -3.375, -1.408], [6.944, -5.444, -1.119]],
  "species": ["Pr", "Pr", "Y", "Y", "Bi", "Bi"],
  "frac_coords": [[0.751, 0.250, 0.850], [0.249, 0.750, 0.150], [0.250, 0.250, 0.500], [0.750, 0.750, 0.500], [0.749, 0.250, 0.228], [0.251, 0.750, 0.772]],
  "e_form_kj_per_mol_atoms": -65.3,
  "spacegroup": "P2_1/m (11)",
  "final_energy_ev_per_cell": -34.3
}

[8]
{
  "formula": "PuSc2Hg",
  "functional": "PBE-GGA",
  "state": "optimized geometry",
  "lattice_angstrom": [[-1.892, 0.203, -2.653], [1.348, -0.042, -2.973], [-1.023, -10.800, -2.104]],
  "species": ["Sc", "Sc", "Hg", "Pu"],
  "frac_coords": [[0.094, 0.094, 0.718], [0.906, 0.906, 0.282], [0.500, 0.500, 0.500], [0.000, 0.000, 0.000]],
  "e_form_kj_per_mol_atoms": 13.5,
  "spacegroup": "R-3m (166)",
  "final_energy_ev_per_cell": -26.7,
  "polymorph_energy_ev_per_atom": 0.275
}

[9]
{
  "formula": "U2Sb2Ru3",
  "functional": "PBE-GGA",
  "state": "optimized geometry",
  "lattice_angstrom": [[-2.645, -2.928, 2.432], [4.004, -2.534, 1.303], [1.623, 5.420, 3.873]],
  "species": ["U", "U", "Sb", "Sb", "Ru", "Ru", "Ru"],
  "frac_coords": [[0.148, 0.375, 0.296], [0.852, 0.625, 0.704], [0.404, 0.179, 0.807], [0.596, 0.821, 0.193], [0.000, 0.000, 0.000], [0.224, 0.825, 0.448], [0.776, 0.175, 0.552]],
  "formation_energy_uncorrected_ev_per_atom": -0.241,
  "spacegroup": "C2/m (12)",
  "final_energy_ev_per_cell": -60.3,
  "polymorph_energy_ev_per_atom": 0.022
}

[10]
{
  "formula": "Ag2SbAu5",
  "functional": "PBE-GGA",
  "state": "optimized geometry",
  "lattice_angstrom": [[-3.174, -2.603, -7.533], [-1.702, -7.604, 3.344], [-7.547, 2.681, 2.253]],
  "species": ["Ag", "Ag", "Ag", "Ag", "Ag", "Ag", "Ag", "Ag", "Sb", "Sb", "Sb", "Sb", "Au", "Au", "Au", "Au", "Au", "Au", "Au", "Au", "Au", "Au", "Au", "Au", "Au", "Au", "Au", "Au", "Au", "Au", "Au", "Au"],
  "frac_coords": [[0.000, 0.000, 0.752], [0.000, 0.000, 0.248], [0.000, 0.500, 0.252], [0.000, 0.500, 0.748], [0.763, 0.000, 0.500], [0.237, 0.500, 0.000], [0.237, 0.000, 0.500], [0.763, 0.500, 0.000], [0.500, 0.500, 0.744], [0.500, 0.500, 0.256], [0.500, 0.000, 0.244], [0.500, 0.000, 0.756], [0.760, 0.250, 0.750], [0.760, 0.750, 0.250], [0.240, 0.250, 0.250], [0.240, 0.750, 0.750], [0.240, 0.750, 0.250], [0.240, 0.250, 0.750], [0.760, 0.750, 0.750], [0.760, 0.250, 0.250], [0.500, 0.261, 0.000], [0.500, 0.739, 0.000], [0.500, 0.239, 0.500], [0.500, 0.761, 0.500], [0.000, 0.251, 0.000], [0.000, 0.749, 0.000], [0.000, 0.249, 0.500], [0.000, 0.751, 0.500], [0.759, 0.000, 0.000], [0.241, 0.500, 0.500], [0.241, 0.000, 0.000], [0.759, 0.500, 0.500]],
  "formation_energy_uncorrected_ev_per_atom": 0.009,
  "spacegroup": "Cmmm (65)",
  "final_energy_ev_per_cell": -104.6
}

[11]
{
  "formula": "CsTl2Te6",
  "functional": "PBE-GGA",
  "state": "optimized geometry",
  "lattice_angstrom": [[-0.162, -4.237, 0.197], [8.737, -2.627, -3.656], [6.571, -2.048, 7.016]],
  "species": ["Cs", "Tl", "Tl", "Te", "Te", "Te", "Te", "Te", "Te"],
  "frac_coords": [[0.000, 0.000, 0.000], [0.137, 0.363, 0.363], [0.863, 0.637, 0.637], [0.324, 0.943, 0.409], [0.676, 0.057, 0.590], [0.676, 0.590, 0.057], [0.500, 0.312, 0.688], [0.500, 0.688, 0.312], [0.324, 0.409, 0.943]],
  "formation_energy_uncorrected_ev_per_atom": -0.246,
  "spacegroup": "Immm (71)",
  "final_energy_ev_per_cell": -26.6,
  "polymorph_energy_ev_per_atom": 0.033
}

[12]
{
  "formula": "Sr4TeW",
  "functional": "PBE-GGA",
  "state": "optimized geometry",
  "lattice_angstrom": [[-6.006, -2.646, 2.111], [-5.088, -1.049, -4.533], [-1.755, -6.423, -1.787]],
  "species": ["Sr", "Sr", "Sr", "Sr", "Te", "W"],
  "frac_coords": [[0.877, 0.374, 0.374], [0.374, 0.374, 0.877], [0.374, 0.877, 0.374], [0.374, 0.374, 0.374], [0.750, 0.750, 0.750], [0.000, 0.000, 0.000]],
  "formation_energy_uncorrected_ev_per_atom": 0.966,
  "spacegroup": "F-43m (216)",
  "final_energy_ev_per_cell": -17.0
}

[13]
{
  "formula": "K2BaTbF8",
  "functional": "PBE-GGA",
  "state": "optimized geometry",
  "lattice_angstrom": [[6.097, 0.000, 0.000], [0.000, 6.097, 0.000], [-3.049, -3.049, 5.928]],
  "species": ["K", "K", "Ba", "Tb", "F", "F", "F", "F", "F", "F", "F", "F"],
  "frac_coords": [[0.750, 0.250, 0.500], [0.000, 0.000, 0.000], [0.500, 0.500, 0.000], [0.250, 0.750, 0.500], [0.147, 0.641, 0.727], [0.580, 0.641, 0.727], [0.359, 0.420, 0.273], [0.914, 0.853, 0.273], [0.580, 0.086, 0.727], [0.359, 0.853, 0.273], [0.147, 0.086, 0.727], [0.914, 0.420, 0.273]],
  "formation_energy_uncorrected_ev_per_atom": -3.280,
  "spacegroup": "I-4m2 (119)",
  "final_energy_ev_per_cell": -63.1
}

[14]
{
  "formula": "YNbCuRu",
  "functional": "PBE-GGA",
  "state": "optimized geometry",
  "lattice_angstrom": [[4.662, 0.000, 0.000], [2.331, 4.037, 0.000], [2.331, 1.346, 3.806]],
  "species": ["Y", "Ru", "Nb", "Cu"],
  "frac_coords": [[0.500, 0.500, 0.500], [0.750, 0.750, 0.750], [0.000, 0.000, 0.000], [0.250, 0.250, 0.250]],
  "e_form_kj_per_mol_atoms": -4.3,
  "spacegroup": "F-43m (216)",
  "final_energy_ev_per_cell": -30.1
}

[15]
{
  "formula": "AlSbCl2",
  "functional": "PBE-GGA",
  "state": "optimized geometry",
  "lattice_angstrom": [[-4.865, -0.303, 2.620], [0.743, -1.150, 5.361], [2.213, 3.807, -3.351]],
  "species": ["Sb", "Al", "Cl", "Cl"],
  "frac_coords": [[0.250, 0.750, 0.500], [0.750, 0.250, 0.500], [0.000, 0.000, 0.000], [0.500, 0.500, 0.000]],
  "formation_energy_uncorrected_ev_per_atom": 0.002,
  "spacegroup": "I4/mmm (139)",
  "final_energy_ev_per_cell": -11.6,
  "polymorph_energy_ev_per_atom": 0.648
}

[16]
{
  "formula": "Tb2Pr6HoMg",
  "functional": "PBE-GGA",
  "state": "optimized geometry",
  "lattice_angstrom": [[9.292, -2.289, -2.375], [0.777, 8.581, -1.821], [0.777, -2.137, 8.508]],
  "species": ["Tb", "Tb", "Tb", "Tb", "Pr", "Pr", "Pr", "Pr", "Pr", "Pr", "Pr", "Pr", "Pr", "Pr", "Pr", "Pr", "Ho", "Ho", "Mg", "Mg"],
  "frac_coords": [[0.445, 0.804, 0.712], [0.055, 0.288, 0.196], [0.555, 0.196, 0.288], [0.945, 0.712, 0.804], [0.050, 0.119, 0.755], [0.450, 0.245, 0.881], [0.950, 0.881, 0.245], [0.550, 0.755, 0.119], [0.307, 0.000, 0.431], [0.193, 0.569, 0.000], [0.693, 0.000, 0.569], [0.807, 0.431, 0.000], [0.112, 0.699, 0.506], [0.388, 0.494, 0.301], [0.888, 0.301, 0.494], [0.612, 0.506, 0.699], [0.250, 0.981, 0.019], [0.750, 0.019, 0.981], [0.250, 0.406, 0.594], [0.750, 0.594, 0.406]],
  "e_form_kj_per_mol_atoms": 10.9,
  "spacegroup": "C2/c (15)",
  "final_energy_ev_per_cell": -86.0
}

[17]
{
  "formula": "BaAlAs2O8",
  "functional": "PBE-GGA",
  "state": "optimized geometry",
  "lattice_angstrom": [[5.167, 0.000, 0.000], [-2.584, 4.475, 0.000], [0.000, 0.000, 7.557]],
  "species": ["Ba", "Al", "As", "As", "O", "O", "O", "O", "O", "O", "O", "O"],
  "frac_coords": [[0.000, 0.000, 0.000], [0.000, 0.000, 0.500], [0.667, 0.333, 0.291], [0.333, 0.667, 0.709], [0.333, 0.667, 0.938], [0.315, 0.261, 0.347], [0.739, 0.055, 0.347], [0.667, 0.333, 0.062], [0.261, 0.945, 0.653], [0.685, 0.739, 0.653], [0.055, 0.315, 0.653], [0.945, 0.685, 0.347]],
  "formation_energy_uncorrected_ev_per_atom": -1.838,
  "spacegroup": "P-3 (147)",
  "final_energy_ev_per_cell": -76.7
}

[18]
{
  "formula": "Bi2AsSe",
  "functional": "PBE-GGA",
  "state": "optimized geometry",
  "lattice_angstrom": [[-0.120, -2.168, -3.432], [-1.119, -3.902, 0.102], [-7.966, 0.113, -2.195]],
  "species": ["Bi", "Bi", "As", "Se"],
  "frac_coords": [[0.082, 0.082, 0.755], [0.258, 0.258, 0.225], [0.666, 0.666, 0.001], [0.494, 0.494, 0.519]],
  "formation_energy_uncorrected_ev_per_atom": -0.062,
  "spacegroup": "R3m (160)",
  "final_energy_ev_per_cell": -16.1,
  "polymorph_energy_ev_per_atom": 0.036
}

[19]
{
  "formula": "K3Sb2Pt",
  "functional": "PBE-GGA",
  "state": "optimized geometry",
  "lattice_angstrom": [[9.235, 0.000, 0.000], [0.000, 7.645, 0.000], [-4.617, -3.822, 6.732]],
  "species": ["K", "K", "K", "K", "K", "K", "Sb", "Sb", "Sb", "Sb", "Pt", "Pt"],
  "frac_coords": [[0.339, 0.699, 0.398], [0.661, 0.301, 0.602], [0.941, 0.801, 0.602], [0.059, 0.199, 0.398], [0.500, 0.750, 0.000], [0.500, 0.250, 0.000], [0.242, 0.054, 0.109], [0.758, 0.946, 0.891], [0.133, 0.446, 0.891], [0.867, 0.554, 0.109], [0.000, 0.250, 0.000], [0.000, 0.750, 0.000]],
  "formation_energy_uncorrected_ev_per_atom": -0.393,
  "spacegroup": "Ibam (72)",
  "final_energy_ev_per_cell": -39.9
}

[20]
{
  "formula": "Sr3HoCd4",
  "functional": "PBE-GGA",
  "state": "optimized geometry",
  "lattice_angstrom": [[-1.675, 3.512, -0.554], [-3.138, -1.748, -1.596], [-6.879, -0.977, 14.597]],
  "species": ["Sr", "Sr", "Sr", "Ho", "Cd", "Cd", "Cd", "Cd"],
  "frac_coords": [[0.500, 0.500, 0.239], [0.500, 0.500, 0.500], [0.500, 0.500, 0.761], [0.500, 0.500, 0.000], [0.000, 0.000, 0.896], [0.000, 0.000, 0.104], [0.000, 0.000, 0.370], [0.000, 0.000, 0.630]],
  "e_form_kj_per_mol_atoms": -30.6,
  "spacegroup": "P4/mmm (123)",
  "final_energy_ev_per_cell": -15.8
}